Compound: AlNiF5
Source: Alexandria
Functional: GGA+U
Structure: optimized geometry

Lattice parameters (Å, degrees): 5.4487 5.4487 7.5742 110.74 110.74 86.20
Last column: nearest neighbours and their distance in Å.
Fractional positions:
Al 0.0993 0.9007 0.7500  4 F 1.70-1.71
Al 0.9007 0.0993 0.2500  4 F 1.70-1.71
Ni 0.5000 0.5000 0.0000  6 F 1.95-2.08
Ni 0.5000 0.5000 0.5000  6 F 1.95-2.08
F 0.1776 0.2287 0.8397  1 Al 1.70
F 0.2071 0.7489 0.5543  1 Al 1.71
F 0.2287 0.1776 0.3397  1 Al 1.70
F 0.2511 0.7929 0.9457  1 Al 1.71
F 0.4402 0.5598 0.2500  2 Ni 1.95
F 0.5598 0.4402 0.7500  2 Ni 1.95
F 0.7489 0.2071 0.0543  1 Al 1.71
F 0.7713 0.8224 0.6603  1 Al 1.70
F 0.7929 0.2511 0.4457  1 Al 1.71
F 0.8224 0.7713 0.1603  1 Al 1.70

Values from the calculation:
Crystal system: monoclinic
ΔE to the lowest computed polymorph: 0.058 eV/atom
Total magnetization: 2.0 μB per formula unit
Density of states at the Fermi level: 0.00 states/eV per atom